# GGA-PBE Li3H6Ir, optimized geometry
# electronic total energy: -155.629 eV/cell
data_Li3H6Ir
_chemical_formula_sum 'Li12 H24 Ir4'
_symmetry_space_group_name_H-M 'F m -3 m'
_symmetry_Int_Tables_number 225
_symmetry_space_group_name_Hall '-F 4 2 3'
_cell_length_a 6.754
_cell_length_b 6.754
_cell_length_c 6.754
_cell_angle_alpha 90.00
_cell_angle_beta 90.00
_cell_angle_gamma 90.00
loop_
_atom_site_label
_atom_site_type_symbol
_atom_site_fract_x
_atom_site_fract_y
_atom_site_fract_z
Li1 Li 0.000 0.000 0.000
Li2 Li 0.250 0.250 0.250
H1 H 0.000 0.000 0.256
Ir1 Ir 0.000 0.000 0.500